(1)
# GGA-PBE Pr3Er4In, relaxed
data_Pr3Er4In
_cell_length_a 11.310
_cell_length_b 7.126
_cell_length_c 6.242
_cell_angle_alpha 90.00
_cell_angle_beta 90.00
_cell_angle_gamma 90.00
_space_group_name_H-M_alt 'P 1'
_space_group_IT_number 1
_space_group_name_Hall 'P 1'
loop_
_atom_site_label
_atom_site_fract_x
_atom_site_fract_y
_atom_site_fract_z
Pr1 0.000 0.128 0.000
Pr2 0.237 0.117 0.350
Pr3 0.263 0.883 0.850
Pr4 0.500 0.872 0.500
Pr5 0.737 0.883 0.850
Pr6 0.763 0.117 0.350
Er1 0.000 0.384 0.542
Er2 0.000 0.627 0.024
Er3 0.240 0.622 0.363
Er4 0.260 0.378 0.863
Er5 0.500 0.373 0.524
Er6 0.500 0.616 0.042
Er7 0.740 0.378 0.863
Er8 0.760 0.622 0.363
In1 0.000 0.855 0.529
In2 0.500 0.145 0.029
# - density of states at the Fermi level (states/eV/atom) = 1.02
# - total magnetic moment (μB/atom) = 0.000
# - energy above the most stable polymorph in this dataset (eV per atom) = 0.000
# - raw total energy (eV/atom) = -4.53
# - energy relative to the elements (eV per atom) = -0.110
# - SG = No. 31
# - crystal system = orthorhombic

***

(2)
# GGA-PBE DyMg2Au, relaxed
data_DyMg2Au
_cell_length_a 3.417
_cell_length_b 3.417
_cell_length_c 7.750
_cell_angle_alpha 90.00
_cell_angle_beta 90.00
_cell_angle_gamma 90.00
_space_group_name_H-M_alt 'P 1'
_space_group_IT_number 1
_space_group_name_Hall 'P 1'
loop_
_atom_site_label
_atom_site_fract_x
_atom_site_fract_y
_atom_site_fract_z
Dy1 0.000 0.000 0.000
Mg1 0.500 0.500 0.302
Mg2 0.500 0.500 0.698
Au1 0.000 0.000 0.500
# - density of states at the Fermi level (states/eV/atom) = 0.98
# - total magnetic moment (μB/atom) = 0.041
# - raw total energy (eV/atom) = -3.09
# - energy relative to the elements (eV per atom) = -0.326
# - SG = No. 123
# - crystal system = tetragonal

***

The following volume values (in A^3/atom) correspond, in order, to the records above: 31.443; 22.619.